(1)
Computed, not measured: a geometry-optimized Nd6HoTm12 structure at the PBE-GGA level of DFT.

Structure (CIF):
```
data_Nd6HoTm12
_chemical_formula_sum 'Nd6 Ho1 Tm12'
_cell_length_a 8.6764
_cell_length_b 8.6764
_cell_length_c 8.6764
_cell_angle_alpha 98.70
_cell_angle_beta 98.70
_cell_angle_gamma 98.70
_symmetry_space_group_name_H-M 'P 1'
_symmetry_Int_Tables_number 1
_symmetry_space_group_name_Hall 'P 1'
loop_
_atom_site_label
_atom_site_type_symbol
_atom_site_fract_x
_atom_site_fract_y
_atom_site_fract_z
Nd1 Nd 0.9016 0.3443 0.9016
Nd2 Nd 0.9016 0.9016 0.3443
Nd3 Nd 0.3443 0.9016 0.9016
Nd4 Nd 0.0984 0.0984 0.6557
Nd5 Nd 0.0984 0.6557 0.0984
Nd6 Nd 0.6557 0.0984 0.0984
Ho1 Ho 0.0000 0.0000 0.0000
Tm1 Tm 0.7557 0.2443 0.5000
Tm2 Tm 0.3546 0.0809 0.3546
Tm3 Tm 0.3546 0.3546 0.0809
Tm4 Tm 0.9191 0.6454 0.6454
Tm5 Tm 0.6454 0.6454 0.9191
Tm6 Tm 0.6454 0.9191 0.6454
Tm7 Tm 0.5000 0.7557 0.2443
Tm8 Tm 0.2443 0.5000 0.7557
Tm9 Tm 0.2443 0.7557 0.5000
Tm10 Tm 0.5000 0.2443 0.7557
Tm11 Tm 0.7557 0.5000 0.2443
Tm12 Tm 0.0809 0.3546 0.3546
```

(2)
Computed, not measured: a geometry-optimized Nd5HoTm5 structure at the PBE-GGA level of DFT.

Structure (CIF):
```
data_Nd5HoTm5
_chemical_formula_sum 'Nd5 Ho1 Tm5'
_cell_length_a 5.9455
_cell_length_b 9.9036
_cell_length_c 7.0397
_cell_angle_alpha 110.70
_cell_angle_beta 90.00
_cell_angle_gamma 107.47
_symmetry_space_group_name_H-M 'P 1'
_symmetry_Int_Tables_number 1
_symmetry_space_group_name_Hall 'P 1'
loop_
_atom_site_label
_atom_site_type_symbol
_atom_site_fract_x
_atom_site_fract_y
_atom_site_fract_z
Nd1 Nd 0.8236 0.6472 0.0678
Nd2 Nd 0.8237 0.6473 0.5789
Nd3 Nd 0.5000 0.0000 0.0000
Nd4 Nd 0.1763 0.3527 0.4211
Nd5 Nd 0.1764 0.3528 0.9322
Ho1 Ho 0.0000 0.0000 0.0000
Tm1 Tm 0.6684 0.3368 0.1692
Tm2 Tm 0.6211 0.2422 0.6221
Tm3 Tm 0.0000 0.0000 0.5000
Tm4 Tm 0.3789 0.7578 0.3779
Tm5 Tm 0.3316 0.6632 0.8308
```

(3)
Computed, not measured: a geometry-optimized Nd3HoTm4 structure at the PBE-GGA level of DFT.

Structure (CIF):
```
data_Nd3HoTm4
_chemical_formula_sum 'Nd3 Ho1 Tm4'
_cell_length_a 3.4702
_cell_length_b 11.6144
_cell_length_c 8.8691
_cell_angle_alpha 130.93
_cell_angle_beta 101.23
_cell_angle_gamma 89.86
_symmetry_space_group_name_H-M 'P 1'
_symmetry_Int_Tables_number 1
_symmetry_space_group_name_Hall 'P 1'
loop_
_atom_site_label
_atom_site_type_symbol
_atom_site_fract_x
_atom_site_fract_y
_atom_site_fract_z
Tm1 Tm 0.6382 0.3800 0.2702
Tm2 Tm 0.3618 0.6200 0.7298
Tm3 Tm 0.3640 0.1095 0.7297
Tm4 Tm 0.6360 0.8905 0.2703
Nd1 Nd 0.0000 0.5000 0.0000
Nd2 Nd 0.7560 0.7559 0.5117
Nd3 Nd 0.2440 0.2441 0.4883
Ho1 Ho 0.5000 0.0000 0.0000
```

ΔE_f values, unit meV per atom, following the record order: 222 267 140.
Total energy values, unit eV per atom, following the record order: -4.348 -4.349 -4.456.
Total magnetization values, unit μB per atom, following the record order: 0.000 0.046 0.000.